[1]
Below is a geometry-optimized Pm7Er2Mg2 structure, with properties calculated at the PBE level.

Cell lengths 8.0031, 8.0031, 6.1583 Å; angles 107.30, 107.30, 91.48 degrees
Fractional positions:
Pm (0.0000, 0.0000, 0.0000)
Pm (0.0832, 0.5759, 0.8134)
Pm (0.4018, 0.4018, 0.1889)
Pm (0.4241, 0.9168, 0.1866)
Pm (0.5759, 0.0832, 0.8134)
Pm (0.5982, 0.5982, 0.8111)
Pm (0.9168, 0.4241, 0.1866)
Er (0.1961, 0.8039, 0.5000)
Er (0.8039, 0.1961, 0.5000)
Mg (0.2411, 0.2411, 0.5525)
Mg (0.7589, 0.7589, 0.4475)

## Properties
- space-group type = No. 12
- electronic total energy (eV/f.u.) = -44.3
- energy relative to the lowest polymorph listed for this composition (eV/atom) = 0.000
- ρ (g cm⁻³) = 6.51

[2]
Below is a geometry-optimized SrY3Ir structure, with properties calculated at the PBE level.

Cell lengths 4.6548, 4.6548, 17.5768 Å; angles 90.00, 90.00, 120.00 degrees
Fractional positions:
Sr (0.3333, 0.6667, 0.2500)
Sr (0.6667, 0.3333, 0.7500)
Y (0.0000, 0.0000, 0.2500)
Y (0.0000, 0.0000, 0.7500)
Y (0.3333, 0.6667, 0.0644)
Y (0.3333, 0.6667, 0.4356)
Y (0.6667, 0.3333, 0.5644)
Y (0.6667, 0.3333, 0.9356)
Ir (0.0000, 0.0000, 0.0000)
Ir (0.0000, 0.0000, 0.5000)

## Properties
- space-group type = No. 194
- electronic total energy (eV/f.u.) = -25.6
- energy relative to the lowest polymorph listed for this composition (eV/atom) = 1.246
- ρ (g cm⁻³) = 5.50

[3]
Below is a geometry-optimized YTm2Ni9 structure, with properties calculated at the PBE level.

Cell lengths 4.9492, 4.9492, 16.0949 Å; angles 90.00, 90.00, 120.00 degrees
Fractional positions:
Y (0.3333, 0.6667, 0.2500)
Y (0.6667, 0.3333, 0.7500)
Tm (0.3333, 0.6667, 0.0410)
Tm (0.3333, 0.6667, 0.4590)
Tm (0.6667, 0.3333, 0.5410)
Tm (0.6667, 0.3333, 0.9590)
Ni (0.0000, 0.0000, 0.0000)
Ni (0.0000, 0.0000, 0.2500)
Ni (0.0000, 0.0000, 0.5000)
Ni (0.0000, 0.0000, 0.7500)
Ni (0.1675, 0.3349, 0.6255)
Ni (0.1675, 0.3349, 0.8745)
Ni (0.1675, 0.8325, 0.6255)
Ni (0.1675, 0.8325, 0.8745)
Ni (0.3333, 0.6667, 0.7500)
Ni (0.3349, 0.1675, 0.1255)
Ni (0.3349, 0.1675, 0.3745)
Ni (0.6651, 0.8325, 0.6255)
Ni (0.6651, 0.8325, 0.8745)
Ni (0.6667, 0.3333, 0.2500)
Ni (0.8325, 0.1675, 0.1255)
Ni (0.8325, 0.1675, 0.3745)
Ni (0.8325, 0.6651, 0.1255)
Ni (0.8325, 0.6651, 0.3745)

## Properties
- space-group type = No. 194
- electronic total energy (eV/f.u.) = -72.7
- ρ (g cm⁻³) = 9.29

[4]
Below is a geometry-optimized Nd2SmCuSe5 structure, with properties calculated at the PBE level.

Cell lengths 9.1957, 9.1957, 12.1919 Å; angles 90.00, 90.00, 154.27 degrees
Fractional positions:
Nd (0.1079, 0.8921, 0.5000)
Nd (0.1200, 0.8800, 0.1252)
Nd (0.8800, 0.1200, 0.6252)
Nd (0.8921, 0.1079, 0.0000)
Sm (0.1936, 0.8064, 0.8252)
Sm (0.8064, 0.1936, 0.3252)
Cu (0.4368, 0.5632, 0.2691)
Cu (0.5632, 0.4368, 0.7691)
Se (0.0412, 0.9588, 0.8758)
Se (0.2893, 0.7107, 0.4940)
Se (0.3164, 0.6836, 0.1577)
Se (0.3584, 0.6416, 0.8161)
Se (0.4992, 0.5008, 0.5944)
Se (0.5008, 0.4992, 0.0944)
Se (0.6416, 0.3584, 0.3161)
Se (0.6836, 0.3164, 0.6577)
Se (0.7107, 0.2893, 0.9940)
Se (0.9588, 0.0412, 0.3758)

## Properties
- space-group type = No. 36
- formation energy without anion corrections (kJ/mol of atoms) = -152.5
- electronic total energy (eV/f.u.) = -50.0
- ρ (g cm⁻³) = 6.66

[5]
Below is a geometry-optimized NbFeOs3 structure, with properties calculated at the PBE level.

Cell lengths 4.6991, 4.6991, 4.6991 Å; angles 90.00, 90.00, 90.00 degrees
Fractional positions:
Nb (0.0000, 0.0000, 0.0000)
Fe (0.5000, 0.5000, 0.5000)
Os (0.0000, 0.0000, 0.5000)
Os (0.0000, 0.5000, 0.0000)
Os (0.5000, 0.0000, 0.0000)

## Properties
- space-group type = No. 221
- electronic total energy (eV/f.u.) = -38.5
- energy relative to the lowest polymorph listed for this composition (eV/atom) = 1.304
- ρ (g cm⁻³) = 11.51

[6]
Below is a geometry-optimized LaZrNi2 structure, with properties calculated at the PBE level.

Cell lengths 3.3558, 3.3558, 7.1224 Å; angles 90.00, 90.00, 90.00 degrees
Fractional positions:
La (0.0000, 0.0000, 0.0000)
Zr (0.5000, 0.5000, 0.5979)
Ni (0.0000, 0.0000, 0.4298)
Ni (0.5000, 0.5000, 0.2477)

## Properties
- space-group type = No. 99
- electronic total energy (eV/f.u.) = -25.3
- ρ (g cm⁻³) = 7.19